{"formula": "TcNiAg2", "functional": "PBE-GGA", "state": "optimized geometry", "lattice_angstrom": [[4.499, -1.339, 0.000], [4.499, 1.339, 0.000], [-0.738, 0.000, 5.100]], "species": ["Tc", "Ni", "Ag", "Ag"], "fractional_positions": [[0.000, 0.000, 0.000], [0.739, 0.739, 0.175], [0.243, 0.243, 0.713], [0.486, 0.486, 0.469]], "formation_enthalpy_0k_kj_per_mol_atoms": 42.1, "de_polymorph_mev_per_atom": 221}



{"formula": "TcNiAg", "functional": "PBE-GGA", "state": "optimized geometry", "lattice_angstrom": [[2.725, 0.000, 0.000], [-1.362, 2.360, 0.000], [0.000, 0.000, 6.772]], "species": ["Tc", "Ni", "Ag"], "fractional_positions": [[0.000, 0.000, 0.000], [0.333, 0.667, 0.708], [0.667, 0.333, 0.371]], "formation_enthalpy_0k_kj_per_mol_atoms": 28.9, "de_polymorph_mev_per_atom": 34}



{"formula": "TcNiAg", "functional": "PBE-GGA", "state": "optimized geometry", "lattice_angstrom": [[0.000, 2.884, 2.884], [2.884, 0.000, 2.884], [2.884, 2.884, 0.000]], "species": ["Tc", "Ni", "Ag"], "fractional_positions": [[0.000, 0.000, 0.000], [0.750, 0.750, 0.750], [0.500, 0.500, 0.500]], "formation_enthalpy_0k_kj_per_mol_atoms": 74.2, "de_polymorph_mev_per_atom": 504}



{"formula": "TcNi3Ag", "functional": "PBE-GGA", "state": "optimized geometry", "lattice_angstrom": [[4.466, 0.000, 0.000], [0.000, 4.466, 0.000], [0.000, 0.000, 4.466]], "species": ["Tc", "Ni", "Ni", "Ni", "Ag"], "fractional_positions": [[0.000, 0.000, 0.000], [0.000, 0.000, 0.500], [0.000, 0.500, 0.000], [0.500, 0.000, 0.000], [0.500, 0.500, 0.500]], "formation_enthalpy_0k_kj_per_mol_atoms": 120.3, "de_polymorph_mev_per_atom": 0}



{"formula": "TcNiAg", "functional": "PBE-GGA", "state": "optimized geometry", "lattice_angstrom": [[-1.349, 1.349, 5.942], [1.349, -1.349, 5.942], [1.349, 1.349, -5.942]], "species": ["Tc", "Ni", "Ag"], "fractional_positions": [[0.000, 0.000, 0.000], [0.639, 0.639, 0.000], [0.310, 0.310, 0.000]], "formation_enthalpy_0k_kj_per_mol_atoms": 25.6, "de_polymorph_mev_per_atom": 0}



{"formula": "TcNiAg2", "functional": "PBE-GGA", "state": "optimized geometry", "lattice_angstrom": [[0.000, 3.157, 3.157], [3.157, 0.000, 3.157], [3.157, 3.157, 0.000]], "species": ["Tc", "Ni", "Ag", "Ag"], "fractional_positions": [[0.000, 0.000, 0.000], [0.250, 0.250, 0.250], [0.500, 0.500, 0.500], [0.750, 0.750, 0.750]], "formation_enthalpy_0k_kj_per_mol_atoms": 59.2, "de_polymorph_mev_per_atom": 398}



{"formula": "Tc4NiAg", "functional": "PBE-GGA", "state": "optimized geometry", "lattice_angstrom": [[0.000, 3.610, 3.610], [3.610, 0.000, 3.610], [3.610, 3.610, 0.000]], "species": ["Tc", "Tc", "Tc", "Tc", "Ni", "Ag"], "fractional_positions": [[0.125, 0.125, 0.125], [0.125, 0.125, 0.624], [0.125, 0.624, 0.125], [0.624, 0.125, 0.125], [0.500, 0.500, 0.500], [0.750, 0.750, 0.750]], "formation_enthalpy_0k_kj_per_mol_atoms": 59.6}



{"formula": "TcNiAg2", "functional": "PBE-GGA", "state": "optimized geometry", "lattice_angstrom": [[2.648, 0.000, 0.000], [0.000, 4.776, 0.000], [-0.321, 0.000, 4.876]], "species": ["Tc", "Ni", "Ag", "Ag"], "fractional_positions": [[0.000, 0.000, 0.000], [0.500, 0.000, 0.500], [0.280, 0.500, 0.746], [0.720, 0.500, 0.254]], "formation_enthalpy_0k_kj_per_mol_atoms": 49.6, "de_polymorph_mev_per_atom": 299}



{"formula": "TcNiAg2", "functional": "PBE-GGA", "state": "optimized geometry", "lattice_angstrom": [[3.795, 0.000, 0.000], [0.000, 3.795, 0.000], [0.000, 0.000, 4.391]], "species": ["Tc", "Ni", "Ag", "Ag"], "fractional_positions": [[0.000, 0.000, 0.000], [0.500, 0.500, 0.000], [0.000, 0.500, 0.500], [0.500, 0.000, 0.500]], "formation_enthalpy_0k_kj_per_mol_atoms": 61.1, "de_polymorph_mev_per_atom": 418}



{"formula": "TcNiAg4", "functional": "PBE-GGA", "state": "optimized geometry", "lattice_angstrom": [[0.000, 3.769, 3.769], [3.769, 0.000, 3.769], [3.769, 3.769, 0.000]], "species": ["Tc", "Ni", "Ag", "Ag", "Ag", "Ag"], "fractional_positions": [[0.000, 0.000, 0.000], [0.250, 0.250, 0.250], [0.125, 0.625, 0.625], [0.625, 0.125, 0.625], [0.625, 0.625, 0.125], [0.625, 0.625, 0.625]], "formation_enthalpy_0k_kj_per_mol_atoms": 73.9}



{"formula": "TcNiAg2", "functional": "PBE-GGA", "state": "optimized geometry", "lattice_angstrom": [[-1.909, 1.909, 4.282], [1.909, -1.909, 4.282], [1.909, 1.909, -4.282]], "species": ["Tc", "Ni", "Ag", "Ag"], "fractional_positions": [[0.000, 0.000, 0.000], [0.500, 0.500, 0.000], [0.250, 0.750, 0.500], [0.750, 0.250, 0.500]], "formation_enthalpy_0k_kj_per_mol_atoms": 56.5, "de_polymorph_mev_per_atom": 370}



{"formula": "TcNiAg2", "functional": "PBE-GGA", "state": "optimized geometry", "lattice_angstrom": [[2.684, -4.350, 0.000], [2.684, 4.350, 0.000], [0.000, 0.000, 2.634]], "species": ["Tc", "Ni", "Ag", "Ag"], "fractional_positions": [[0.000, 0.000, 0.000], [0.500, 0.500, 0.000], [0.000, 0.500, 0.500], [0.500, 0.000, 0.500]], "formation_enthalpy_0k_kj_per_mol_atoms": 52.8, "de_polymorph_mev_per_atom": 332}



{"formula": "TcNiAg2", "functional": "PBE-GGA", "state": "optimized geometry", "lattice_angstrom": [[1.575, -2.139, 0.000], [1.575, 2.139, 0.000], [0.000, 0.000, 9.106]], "species": ["Tc", "Ni", "Ag", "Ag"], "fractional_positions": [[0.000, 0.000, 0.000], [0.000, 0.000, 0.500], [0.500, 0.500, 0.265], [0.500, 0.500, 0.735]], "formation_enthalpy_0k_kj_per_mol_atoms": 47.7, "de_polymorph_mev_per_atom": 279}



{"formula": "TcNiAg2", "functional": "PBE-GGA", "state": "optimized geometry", "lattice_angstrom": [[2.715, 0.000, 0.000], [0.000, 3.585, 0.000], [0.000, 0.000, 6.421]], "species": ["Tc", "Ni", "Ag", "Ag"], "fractional_positions": [[0.000, 0.000, 0.000], [0.500, 0.500, 0.832], [0.000, 0.000, 0.563], [0.500, 0.500, 0.281]], "formation_enthalpy_0k_kj_per_mol_atoms": 32.8, "de_polymorph_mev_per_atom": 125}



{"formula": "TcNiAg2", "functional": "PBE-GGA", "state": "optimized geometry", "lattice_angstrom": [[1.392, 0.803, 9.181], [-1.392, 0.803, 9.181], [0.000, -1.607, 9.181]], "species": ["Tc", "Ni", "Ag", "Ag"], "fractional_positions": [[0.000, 0.000, 0.000], [0.737, 0.737, 0.737], [0.244, 0.244, 0.244], [0.486, 0.486, 0.486]], "formation_enthalpy_0k_kj_per_mol_atoms": 28.1, "de_polymorph_mev_per_atom": 76}



{"formula": "Ti2TcNiAg", "functional": "PBE-GGA", "state": "optimized geometry", "lattice_angstrom": [[4.632, 0.000, 0.000], [0.000, 4.632, 0.000], [0.000, 0.000, 4.585]], "species": ["Ti", "Ti", "Tc", "Ni", "Ag"], "fractional_positions": [[0.000, 0.500, 0.000], [0.500, 0.000, 0.000], [0.000, 0.000, 0.000], [0.000, 0.000, 0.500], [0.500, 0.500, 0.500]], "formation_enthalpy_0k_kj_per_mol_atoms": 67.2}



{"formula": "TiTcNiAg2", "functional": "PBE-GGA", "state": "optimized geometry", "lattice_angstrom": [[4.976, 0.000, 0.000], [0.000, 4.976, 0.000], [0.000, 0.000, 4.340]], "species": ["Ti", "Tc", "Ni", "Ag", "Ag"], "fractional_positions": [[0.000, 0.000, 0.000], [0.500, 0.500, 0.500], [0.500, 0.500, 0.000], [0.000, 0.500, 0.500], [0.500, 0.000, 0.500]], "formation_enthalpy_0k_kj_per_mol_atoms": 140.0}



{"formula": "ZnTcNi2Ag", "functional": "PBE-GGA", "state": "optimized geometry", "lattice_angstrom": [[4.357, 0.000, 0.000], [0.000, 4.357, 0.000], [0.000, 0.000, 4.617]], "species": ["Zn", "Tc", "Ni", "Ni", "Ag"], "fractional_positions": [[0.000, 0.000, 0.000], [0.500, 0.500, 0.500], [0.000, 0.500, 0.000], [0.500, 0.000, 0.000], [0.000, 0.000, 0.500]], "formation_enthalpy_0k_kj_per_mol_atoms": 117.9}



{"formula": "NiAgTe2", "functional": "PBE-GGA", "state": "optimized geometry", "lattice_angstrom": [[0.000, 3.484, 3.484], [3.484, 0.000, 3.484], [3.484, 3.484, 0.000]], "species": ["Ni", "Ag", "Te", "Te"], "fractional_positions": [[0.000, 0.000, 0.000], [0.500, 0.500, 0.500], [0.250, 0.250, 0.250], [0.750, 0.750, 0.750]], "raw_formation_energy_ev_per_atom": 0.362}



{"formula": "NiAg2Te", "functional": "PBE-GGA", "state": "optimized geometry", "lattice_angstrom": [[4.122, -2.045, 0.000], [4.122, 2.045, 0.000], [-3.105, 0.000, 4.622]], "species": ["Ni", "Ag", "Ag", "Te"], "fractional_positions": [[0.000, 0.000, 0.000], [0.522, 0.522, 0.674], [0.742, 0.742, 0.406], [0.322, 0.322, 0.035]], "raw_formation_energy_ev_per_atom": 0.101}



| no. | mass density (g/cm³) |
| --- | --- |
| 1 | 10.068 |
| 2 | 10.088 |
| 3 | 9.159 |
| 4 | 7.120 |
| 5 | 10.164 |
| 6 | 9.830 |
| 7 | 9.859 |
| 8 | 10.026 |
| 9 | 9.777 |
| 10 | 9.124 |
| 11 | 9.904 |
| 12 | 10.057 |
| 13 | 10.079 |
| 14 | 9.894 |
| 15 | 10.041 |
| 16 | 6.081 |
| 17 | 6.495 |
| 18 | 7.365 |
| 19 | 8.280 |
| 20 | 8.566 |